(1)
VASP calculation (PBE) on crystalline TbEr2Ga2Pt7 at its relaxed geometry.

Results
energy of formation from the pure elements: -11.76 eV/f.u.
symmetry: No. 12
energy: -73.85 eV/f.u.
mass density: 14.66 g/cm3

Cell lengths 4.0386, 4.0386, 14.1030 Å; angles 97.17, 97.17, 89.43 degrees
Fractional positions:
Tb 0.0000 0.0000 0.0000
Er 0.1393 0.1393 0.3568
Er 0.8607 0.8607 0.6432
Ga 0.3874 0.3874 0.7376
Ga 0.6126 0.6126 0.2624
Pt 0.0675 0.5676 0.1569
Pt 0.3429 0.3429 0.5629
Pt 0.4324 0.9325 0.8431
Pt 0.5000 0.5000 0.0000
Pt 0.5676 0.0675 0.1569
Pt 0.6571 0.6571 0.4371
Pt 0.9325 0.4324 0.8431

=====

(2)
VASP calculation (PBE) on crystalline Er8Ga3Te4Pt at its relaxed geometry.

Results
symmetry: No. 166
energy: -79.71 eV/f.u.
mass density: 8.71 g/cm3

Cell lengths 8.7513, 8.7513, 8.7513 Å; angles 55.98, 55.98, 55.98 degrees
Fractional positions:
Er 0.2449 0.2449 0.2449
Er 0.2460 0.7393 0.7393
Er 0.2607 0.2607 0.7540
Er 0.2607 0.7540 0.2607
Er 0.7393 0.2460 0.7393
Er 0.7393 0.7393 0.2460
Er 0.7540 0.2607 0.2607
Er 0.7551 0.7551 0.7551
Ga 0.0000 0.0000 0.5000
Ga 0.0000 0.5000 0.0000
Ga 0.5000 0.0000 0.0000
Te 0.0000 0.0000 0.0000
Te 0.0000 0.5000 0.5000
Te 0.5000 0.0000 0.5000
Te 0.5000 0.5000 0.0000
Pt 0.5000 0.5000 0.5000

=====

(3)
VASP calculation (PBE) on crystalline Er8GaTe4Pt3 at its relaxed geometry.

Results
symmetry: No. 166
energy: -88.79 eV/f.u.
mass density: 9.71 g/cm3

Cell lengths 8.6910, 8.6910, 8.6910 Å; angles 56.63, 56.63, 56.63 degrees
Fractional positions:
Er 0.2345 0.7412 0.7412
Er 0.2372 0.2372 0.2372
Er 0.2588 0.2588 0.7655
Er 0.2588 0.7655 0.2588
Er 0.7412 0.2345 0.7412
Er 0.7412 0.7412 0.2345
Er 0.7628 0.7628 0.7628
Er 0.7655 0.2588 0.2588
Ga 0.5000 0.5000 0.5000
Te 0.0000 0.0000 0.0000
Te 0.0000 0.5000 0.5000
Te 0.5000 0.0000 0.5000
Te 0.5000 0.5000 0.0000
Pt 0.0000 0.0000 0.5000
Pt 0.0000 0.5000 0.0000
Pt 0.5000 0.0000 0.0000

=====

(4)
VASP calculation (PBE) on crystalline ErTh2Ga3Pt4 at its relaxed geometry.

Results
energy of formation from the pure elements: -9.63 eV/f.u.
symmetry: No. 115
energy: -62.28 eV/f.u.
mass density: 13.04 g/cm3

Cell lengths 4.2564, 4.2564, 11.3918 Å; angles 90.00, 90.00, 90.00 degrees
Fractional positions:
Er 0.0000 0.0000 0.0000
Th 0.0000 0.5000 0.7244
Th 0.5000 0.0000 0.2756
Ga 0.0000 0.5000 0.3767
Ga 0.5000 0.0000 0.6233
Ga 0.5000 0.5000 0.0000
Pt 0.0000 0.0000 0.5000
Pt 0.0000 0.5000 0.1576
Pt 0.5000 0.0000 0.8424
Pt 0.5000 0.5000 0.5000

=====

(5)
VASP calculation (PBE) on crystalline ErThGa2Pt2 at its relaxed geometry.

Results
energy of formation from the pure elements: -6.30 eV/f.u.
symmetry: No. 164
energy: -36.42 eV/f.u.
mass density: 12.49 g/cm3

Cell lengths 4.4873, 4.4873, 7.0812 Å; angles 90.00, 90.00, 120.00 degrees
Fractional positions:
Er 0.0000 0.0000 0.0000
Th 0.0000 0.0000 0.5000
Ga 0.3333 0.6667 0.7754
Ga 0.6667 0.3333 0.2246
Pt 0.3333 0.6667 0.2356
Pt 0.6667 0.3333 0.7644

=====

(6)
VASP calculation (PBE) on crystalline Er2TiGa4Pt3 at its relaxed geometry.

Results
energy of formation from the pure elements: -8.55 eV/f.u.
symmetry: No. 115
energy: -55.80 eV/f.u.
mass density: 11.12 g/cm3

Cell lengths 3.9932, 3.9932, 11.6760 Å; angles 90.00, 90.00, 90.00 degrees
Fractional positions:
Er 0.0000 0.5000 0.2482
Er 0.5000 0.0000 0.7518
Ti 0.5000 0.5000 0.0000
Ga 0.0000 0.0000 0.5000
Ga 0.0000 0.5000 0.8542
Ga 0.5000 0.0000 0.1458
Ga 0.5000 0.5000 0.5000
Pt 0.0000 0.0000 0.0000
Pt 0.0000 0.5000 0.6413
Pt 0.5000 0.0000 0.3587

=====

(7)
VASP calculation (PBE) on crystalline Er2TiGa3Pt4 at its relaxed geometry.

Results
energy of formation from the pure elements: -9.50 eV/f.u.
symmetry: No. 115
energy: -59.77 eV/f.u.
mass density: 12.28 g/cm3

Cell lengths 4.0562, 4.0562, 11.2795 Å; angles 90.00, 90.00, 90.00 degrees
Fractional positions:
Er 0.0000 0.5000 0.2428
Er 0.5000 0.0000 0.7572
Ti 0.0000 0.0000 0.5000
Ga 0.0000 0.5000 0.8649
Ga 0.5000 0.0000 0.1351
Ga 0.5000 0.5000 0.5000
Pt 0.0000 0.0000 0.0000
Pt 0.0000 0.5000 0.6456
Pt 0.5000 0.0000 0.3544
Pt 0.5000 0.5000 0.0000

=====

(8)
VASP calculation (PBE) on crystalline ErTmGa2Pt2 at its relaxed geometry.

Results
energy of formation from the pure elements: -6.51 eV/f.u.
symmetry: No. 164
energy: -33.68 eV/f.u.
mass density: 12.34 g/cm3

Cell lengths 4.4583, 4.4583, 6.7661 Å; angles 90.00, 90.00, 120.00 degrees
Fractional positions:
Er 0.0000 0.0000 0.0000
Tm 0.0000 0.0000 0.5000
Ga 0.3333 0.6667 0.2534
Ga 0.6667 0.3333 0.7466
Pt 0.3333 0.6667 0.7461
Pt 0.6667 0.3333 0.2539

=====

(9)
VASP calculation (PBE) on crystalline Y2ErGa3Pt4 at its relaxed geometry.

Results
energy of formation from the pure elements: -9.84 eV/f.u.
symmetry: No. 115
energy: -60.57 eV/f.u.
mass density: 11.11 g/cm3

Cell lengths 4.1540, 4.1540, 11.5589 Å; angles 90.00, 90.00, 90.00 degrees
Fractional positions:
Y 0.0000 0.5000 0.2274
Y 0.5000 0.0000 0.7726
Er 0.0000 0.0000 0.5000
Ga 0.0000 0.5000 0.8720
Ga 0.5000 0.0000 0.1280
Ga 0.5000 0.5000 0.5000
Pt 0.0000 0.0000 0.0000
Pt 0.0000 0.5000 0.6581
Pt 0.5000 0.0000 0.3419
Pt 0.5000 0.5000 0.0000

=====

(10)
VASP calculation (PBE) on crystalline ErZnGa2Pt2 at its relaxed geometry.

Results
energy of formation from the pure elements: -4.78 eV/f.u.
symmetry: No. 164
energy: -28.75 eV/f.u.
mass density: 11.95 g/cm3

Cell lengths 4.3749, 4.3749, 6.3900 Å; angles 90.00, 90.00, 120.00 degrees
Fractional positions:
Er 0.0000 0.0000 0.0000
Zn 0.0000 0.0000 0.5000
Ga 0.3333 0.6667 0.2895
Ga 0.6667 0.3333 0.7105
Pt 0.3333 0.6667 0.7188
Pt 0.6667 0.3333 0.2812

=====

(11)
VASP calculation (PBE) on crystalline Er2Zn2GaPt5 at its relaxed geometry.

Results
energy of formation from the pure elements: -8.52 eV/f.u.
symmetry: No. 127
energy: -53.43 eV/f.u.
mass density: 14.50 g/cm3

Cell lengths 9.6069, 9.6069, 3.7476 Å; angles 90.00, 90.00, 90.00 degrees
Fractional positions:
Er 0.1745 0.3255 0.0000
Er 0.3255 0.8255 0.0000
Er 0.6745 0.1745 0.0000
Er 0.8255 0.6745 0.0000
Zn 0.1240 0.6240 0.0000
Zn 0.3760 0.1240 0.0000
Zn 0.6240 0.8760 0.0000
Zn 0.8760 0.3760 0.0000
Ga 0.0000 0.0000 0.0000
Ga 0.5000 0.5000 0.0000
Pt 0.0000 0.5000 0.5000
Pt 0.0643 0.7987 0.5000
Pt 0.2013 0.0643 0.5000
Pt 0.2987 0.5643 0.5000
Pt 0.4357 0.2987 0.5000
Pt 0.5000 0.0000 0.5000
Pt 0.5643 0.7013 0.5000
Pt 0.7013 0.4357 0.5000
Pt 0.7987 0.9357 0.5000
Pt 0.9357 0.2013 0.5000

=====

(12)
VASP calculation (PBE) on crystalline ErPu2Ga at its relaxed geometry.

Results
energy of formation from the pure elements: -0.69 eV/f.u.
symmetry: No. 123
energy: -36.94 eV/f.u.
mass density: 12.51 g/cm3
E above lowest polymorph: 0.000 eV/atom

Cell lengths 4.3898, 4.3898, 4.9921 Å; angles 90.00, 90.00, 90.00 degrees
Fractional positions:
Er 0.0000 0.0000 0.0000
Pu 0.0000 0.5000 0.5000
Pu 0.5000 0.0000 0.5000
Ga 0.5000 0.5000 0.0000

=====

(13)
VASP calculation (PBE) on crystalline ErPuGa3 at its relaxed geometry.

Results
energy of formation from the pure elements: -2.23 eV/f.u.
symmetry: No. 63
energy: -30.21 eV/f.u.
mass density: 9.56 g/cm3

Cell lengths 13.6620, 13.6620, 4.4647 Å; angles 90.00, 90.00, 165.01 degrees
Fractional positions:
Er 0.2099 0.7901 0.7500
Er 0.7901 0.2099 0.2500
Pu 0.0733 0.9267 0.2500
Pu 0.9267 0.0733 0.7500
Ga 0.3239 0.6761 0.7500
Ga 0.3800 0.6200 0.2500
Ga 0.4764 0.5236 0.2500
Ga 0.5236 0.4764 0.7500
Ga 0.6200 0.3800 0.7500
Ga 0.6761 0.3239 0.2500

=====

(14)
VASP calculation (PBE) on crystalline ErPu2Ga at its relaxed geometry.

Results
energy of formation from the pure elements: 0.28 eV/f.u.
symmetry: No. 225
energy: -35.98 eV/f.u.
mass density: 12.02 g/cm3
E above lowest polymorph: 0.241 eV/atom

Cell lengths 5.2131, 5.2131, 5.2131 Å; angles 60.00, 60.00, 60.00 degrees
Fractional positions:
Er 0.0000 0.0000 0.0000
Pu 0.2500 0.2500 0.2500
Pu 0.7500 0.7500 0.7500
Ga 0.5000 0.5000 0.5000

=====

(15)
VASP calculation (PBE) on crystalline ErPu2Ga9 at its relaxed geometry.

Results
energy of formation from the pure elements: -3.45 eV/f.u.
symmetry: No. 166
energy: -63.92 eV/f.u.
mass density: 9.05 g/cm3
E above lowest polymorph: 0.138 eV/atom

Cell lengths 9.6090, 9.6090, 9.6090 Å; angles 33.10, 33.10, 33.10 degrees
Fractional positions:
Er 0.0000 0.0000 0.0000
Pu 0.1424 0.1424 0.1424
Pu 0.8576 0.8576 0.8576
Ga 0.0779 0.5871 0.5871
Ga 0.3346 0.3346 0.3346
Ga 0.4129 0.4129 0.9221
Ga 0.4129 0.9221 0.4129
Ga 0.5000 0.5000 0.5000
Ga 0.5871 0.0779 0.5871
Ga 0.5871 0.5871 0.0779
Ga 0.6654 0.6654 0.6654
Ga 0.9221 0.4129 0.4129

=====

(16)
VASP calculation (PBE) on crystalline ErPu2Ga at its relaxed geometry.

Results
energy of formation from the pure elements: -0.18 eV/f.u.
symmetry: No. 123
energy: -36.43 eV/f.u.
mass density: 12.03 g/cm3
E above lowest polymorph: 0.127 eV/atom

Cell lengths 3.9653, 3.9653, 6.3635 Å; angles 90.00, 90.00, 90.00 degrees
Fractional positions:
Er 0.0000 0.0000 0.0000
Pu 0.5000 0.5000 0.2763
Pu 0.5000 0.5000 0.7237
Ga 0.0000 0.0000 0.5000

=====

(17)
VASP calculation (PBE) on crystalline ErPu3Ga8 at its relaxed geometry.

Results
energy of formation from the pure elements: -4.84 eV/f.u.
symmetry: No. 160
energy: -76.62 eV/f.u.
mass density: 10.34 g/cm3

Cell lengths 9.5308, 9.5308, 9.5308 Å; angles 33.43, 33.43, 33.43 degrees
Fractional positions:
Er 0.0000 0.0000 0.0000
Pu 0.3795 0.3795 0.3795
Pu 0.5018 0.5018 0.5018
Pu 0.8724 0.8724 0.8724
Ga 0.1884 0.1884 0.1884
Ga 0.4364 0.9380 0.9380
Ga 0.4386 0.4386 0.9404
Ga 0.4386 0.9404 0.4386
Ga 0.6886 0.6886 0.6886
Ga 0.9380 0.4364 0.9380
Ga 0.9380 0.9380 0.4364
Ga 0.9404 0.4386 0.4386

=====

(18)
VASP calculation (PBE) on crystalline ErPu2Ga9 at its relaxed geometry.

Results
energy of formation from the pure elements: -5.10 eV/f.u.
symmetry: No. 123
energy: -65.57 eV/f.u.
mass density: 9.12 g/cm3
E above lowest polymorph: 0.000 eV/atom

Cell lengths 4.2726, 4.2726, 12.7941 Å; angles 90.00, 90.00, 90.00 degrees
Fractional positions:
Er 0.0000 0.0000 0.0000
Pu 0.0000 0.0000 0.3313
Pu 0.0000 0.0000 0.6687
Ga 0.0000 0.5000 0.1667
Ga 0.0000 0.5000 0.5000
Ga 0.0000 0.5000 0.8333
Ga 0.5000 0.0000 0.1667
Ga 0.5000 0.0000 0.5000
Ga 0.5000 0.0000 0.8333
Ga 0.5000 0.5000 0.0000
Ga 0.5000 0.5000 0.3349
Ga 0.5000 0.5000 0.6651

=====

(19)
VASP calculation (PBE) on crystalline Er2PuGa2Rh5 at its relaxed geometry.

Results
energy of formation from the pure elements: -7.69 eV/f.u.
symmetry: No. 127
energy: -73.96 eV/f.u.
mass density: 11.51 g/cm3

Cell lengths 9.8428, 9.8428, 3.6716 Å; angles 90.00, 90.00, 90.00 degrees
Fractional positions:
Er 0.1715 0.3285 0.0000
Er 0.3285 0.8285 0.0000
Er 0.6715 0.1715 0.0000
Er 0.8285 0.6715 0.0000
Pu 0.0000 0.0000 0.0000
Pu 0.5000 0.5000 0.0000
Ga 0.1242 0.6242 0.0000
Ga 0.3758 0.1242 0.0000
Ga 0.6242 0.8758 0.0000
Ga 0.8758 0.3758 0.0000
Rh 0.0000 0.5000 0.5000
Rh 0.0703 0.7924 0.5000
Rh 0.2076 0.0703 0.5000
Rh 0.2924 0.5703 0.5000
Rh 0.4297 0.2924 0.5000
Rh 0.5000 0.0000 0.5000
Rh 0.5703 0.7076 0.5000
Rh 0.7076 0.4297 0.5000
Rh 0.7924 0.9297 0.5000
Rh 0.9297 0.2076 0.5000

=====

(20)
VASP calculation (PBE) on crystalline ErPuGaRu at its relaxed geometry.

Results
energy of formation from the pure elements: -1.14 eV/f.u.
symmetry: No. 216
energy: -32.34 eV/f.u.
mass density: 11.60 g/cm3

Cell lengths 4.9031, 4.9031, 4.9031 Å; angles 60.00, 60.00, 60.00 degrees
Fractional positions:
Er 0.0000 0.0000 0.0000
Pu 0.5000 0.5000 0.5000
Ga 0.2500 0.2500 0.2500
Ru 0.7500 0.7500 0.7500

=====

(21)
VASP calculation (PBE) on crystalline ErPuGaSi at its relaxed geometry.

Results
symmetry: No. 216
energy: -28.94 eV/f.u.
mass density: 9.77 g/cm3

Cell lengths 4.9648, 4.9648, 4.9648 Å; angles 60.00, 60.00, 60.00 degrees
Fractional positions:
Er 0.0000 0.0000 0.0000
Pu 0.5000 0.5000 0.5000
Ga 0.2500 0.2500 0.2500
Si 0.7500 0.7500 0.7500

=====

(22)
VASP calculation (PBE) on crystalline ErPuGaSn at its relaxed geometry.

Results
energy of formation from the pure elements: -1.60 eV/f.u.
symmetry: No. 216
energy: -27.52 eV/f.u.
mass density: 10.05 g/cm3

Cell lengths 5.1940, 5.1940, 5.1940 Å; angles 60.00, 60.00, 60.00 degrees
Fractional positions:
Er 0.0000 0.0000 0.0000
Pu 0.5000 0.5000 0.5000
Ga 0.7500 0.7500 0.7500
Sn 0.2500 0.2500 0.2500